First-principles (PBE) data for a relaxed structure of Tl3IO, as listed in Alexandria.

a b c (Å): 5.3889 5.3889 5.3889
angles (deg): 90.00 90.00 90.00
Element x y z (fractional)
1 Tl 0.5000 0.0000 0.0000
2 Tl 0.0000 0.5000 0.0000
3 O 0.0000 0.0000 0.0000
4 Tl 0.0000 0.0000 0.5000
5 I 0.5000 0.5000 0.5000

Results
- DOS at the Fermi energy: 0.16 states/eV per cell
- Crystal system: cubic
- Formation energy without anion corrections: -0.42 eV/atom
- Energy above the most stable polymorph in this dataset: 198.2 meV/atom
- Symmetry: Pm-3m, No. 221



First-principles (PBE) data for a relaxed structure of Cs4NaCd3Br12, as listed in Alexandria.

a b c (Å): 9.8126 9.8126 9.8126
angles (deg): 109.47 109.47 109.47
Element x y z (fractional)
1 Cs 0.0000 0.0000 0.5000
2 Cs 0.5000 0.5000 0.5000
3 Cd 0.5000 0.0000 0.5000
4 Br 0.2500 0.7500 0.5000
5 Br 0.7398 0.7398 0.0000
6 Cd 0.5000 0.5000 0.0000
7 Br 0.5000 0.7500 0.2500
8 Br 0.5000 0.2500 0.7500
9 Br 0.2602 0.2602 0.0000
10 Br 0.2500 0.5000 0.7500
11 Br 0.2602 0.0000 0.2602
12 Br 0.7398 0.0000 0.7398
13 Cd 0.0000 0.5000 0.5000
14 Br 0.0000 0.2602 0.2602
15 Na 0.0000 0.0000 0.0000
16 Cs 0.5000 0.0000 0.0000
17 Br 0.0000 0.7398 0.7398
18 Cs 0.0000 0.5000 0.0000
19 Br 0.7500 0.2500 0.5000
20 Br 0.7500 0.5000 0.2500

Results
- DOS at the Fermi energy: 27.87 states/eV per cell
- Crystal system: cubic
- Formation energy without anion corrections: -1.24 eV/atom
- Symmetry: Im-3m, No. 229



First-principles (PBE) data for a relaxed structure of BeP4Pb, as listed in Alexandria.

a b c (Å): 5.5589 5.5589 5.5589
angles (deg): 60.00 60.00 60.00
Element x y z (fractional)
1 P 0.6472 0.6472 0.6472
2 Pb 0.2500 0.2500 0.2500
3 P 0.6472 0.0583 0.6472
4 Be 0.0000 0.0000 0.0000
5 P 0.6472 0.6472 0.0583
6 P 0.0583 0.6472 0.6472

Results
- DOS at the Fermi energy: 5.19 states/eV per cell
- Crystal system: cubic
- Symmetry: F-43m, No. 216



First-principles (PBE) data for a relaxed structure of Ho2TmPaN4, as listed in Alexandria.

a b c (Å): 3.4649 5.9550 5.9630
angles (deg): 109.16 90.00 90.00
Element x y z (fractional)
1 Ho 0.0000 0.5000 0.5000
2 N 0.5000 0.7450 0.7605
3 N 0.5000 0.2550 0.2395
4 Tm 0.0000 0.0000 0.0000
5 Ho 0.5000 0.0000 0.5000
6 N 0.0000 0.2542 0.7574
7 N 0.0000 0.7458 0.2426
8 Pa 0.5000 0.5000 0.0000

Results
- DOS at the Fermi energy: 3.45 states/eV per cell
- Crystal system: monoclinic
- Formation energy without anion corrections: -1.74 eV/atom
- Symmetry: P2/m, No. 10



| no. | E_tot (eV per atom) |
| --- | --- |
| 1 | -3.14 |
| 2 | -2.61 |
| 3 | -4.10 |
| 4 | -8.80 |